[1]
# PBE-GGA Cs3Pb2S4, optimized geometry
data_Cs3Pb2S4
_cell_length_a 9.3031
_cell_length_b 9.3031
_cell_length_c 8.5726
_cell_angle_alpha 95.27
_cell_angle_beta 95.27
_cell_angle_gamma 80.05
_space_group_name_H-M_alt 'P 1'
_space_group_IT_number 1
loop_
_space_group_symop_operation_xyz
'x,y,z'
loop_
_atom_site_label
_atom_site_type_symbol
_atom_site_fract_x
_atom_site_fract_y
_atom_site_fract_z
Cs1 Cs 0.1238 0.8762 0.7500
Cs2 Cs 0.2444 0.5023 0.4055
Cs3 Cs 0.4977 0.7556 0.0945
Cs4 Cs 0.5023 0.2444 0.9055
Cs5 Cs 0.7556 0.4977 0.5945
Cs6 Cs 0.8762 0.1238 0.2500
Pb1 Pb 0.0734 0.3163 0.9121
Pb2 Pb 0.3163 0.0734 0.4121
Pb3 Pb 0.6837 0.9266 0.5879
Pb4 Pb 0.9266 0.6837 0.0879
S1 S 0.1144 0.2263 0.5981
S2 S 0.2047 0.5534 0.9838
S3 S 0.2263 0.1144 0.0981
S4 S 0.4466 0.7953 0.5162
S5 S 0.5534 0.2047 0.4838
S6 S 0.7737 0.8856 0.9019
S7 S 0.7953 0.4466 0.0162
S8 S 0.8856 0.7737 0.4019
# * space-group type: No. 15
# * formation energy (no corrections): -18.47 kcal/mol of atoms

---

[2]
# PBE-GGA CsPbS2, optimized geometry
data_CsPbS2
_cell_length_a 9.1114
_cell_length_b 9.1114
_cell_length_c 9.1114
_cell_angle_alpha 34.43
_cell_angle_beta 34.43
_cell_angle_gamma 34.43
_space_group_name_H-M_alt 'P 1'
_space_group_IT_number 1
loop_
_space_group_symop_operation_xyz
'x,y,z'
loop_
_atom_site_label
_atom_site_type_symbol
_atom_site_fract_x
_atom_site_fract_y
_atom_site_fract_z
Cs1 Cs 0.0000 0.0000 0.0000
Pb1 Pb 0.5000 0.5000 0.5000
S1 S 0.4035 0.4035 0.4035
S2 S 0.5965 0.5965 0.5965
# * space-group type: No. 166
# * formation energy (no corrections): -4.49 kcal/mol of atoms

---

[3]
# PBE-GGA Cs11PbS2, optimized geometry
data_Cs11PbS2
_cell_length_a 14.4879
_cell_length_b 14.4879
_cell_length_c 14.4879
_cell_angle_alpha 125.44
_cell_angle_beta 107.12
_cell_angle_gamma 97.23
_space_group_name_H-M_alt 'P 1'
_space_group_IT_number 1
loop_
_space_group_symop_operation_xyz
'x,y,z'
loop_
_atom_site_label
_atom_site_type_symbol
_atom_site_fract_x
_atom_site_fract_y
_atom_site_fract_z
Cs1 Cs 0.0000 0.0000 0.0000
Cs2 Cs 0.0497 0.4639 0.8036
Cs3 Cs 0.0667 0.8766 0.6792
Cs4 Cs 0.1603 0.9639 0.4142
Cs5 Cs 0.1974 0.3875 0.3208
Cs6 Cs 0.2304 0.8752 0.1056
Cs7 Cs 0.2696 0.3752 0.6449
Cs8 Cs 0.3026 0.6234 0.1901
Cs9 Cs 0.3397 0.7539 0.8036
Cs10 Cs 0.4333 0.1125 0.8099
Cs11 Cs 0.4503 0.2539 0.4142
Cs12 Cs 0.5000 0.5000 0.0000
Cs13 Cs 0.5497 0.7461 0.5858
Cs14 Cs 0.5667 0.8875 0.1901
Cs15 Cs 0.6603 0.2461 0.1964
Cs16 Cs 0.6974 0.3766 0.8099
Cs17 Cs 0.7304 0.6248 0.3551
Cs18 Cs 0.7696 0.1248 0.8944
Cs19 Cs 0.8026 0.6125 0.6792
Cs20 Cs 0.8397 0.0361 0.5858
Cs21 Cs 0.9333 0.1234 0.3208
Cs22 Cs 0.9503 0.5361 0.1964
Pb1 Pb 0.2500 0.7500 0.5000
Pb2 Pb 0.7500 0.2500 0.5000
S1 S 0.1790 0.1377 0.3167
S2 S 0.3210 0.6377 0.9587
S3 S 0.6790 0.3623 0.0413
S4 S 0.8210 0.8623 0.6833
# * space-group type: No. 72
# * formation energy (no corrections): -8.58 kcal/mol of atoms

---

[4]
# PBE-GGA CsPb2S2, optimized geometry
data_CsPb2S2
_cell_length_a 8.0704
_cell_length_b 8.0704
_cell_length_c 7.6516
_cell_angle_alpha 113.99
_cell_angle_beta 113.99
_cell_angle_gamma 103.16
_space_group_name_H-M_alt 'P 1'
_space_group_IT_number 1
loop_
_space_group_symop_operation_xyz
'x,y,z'
loop_
_atom_site_label
_atom_site_type_symbol
_atom_site_fract_x
_atom_site_fract_y
_atom_site_fract_z
Cs1 Cs 0.1249 0.8751 0.7500
Cs2 Cs 0.8751 0.1249 0.2500
Pb1 Pb 0.2388 0.4898 0.9783
Pb2 Pb 0.4898 0.2388 0.4783
Pb3 Pb 0.5102 0.7612 0.5217
Pb4 Pb 0.7612 0.5102 0.0217
S1 S 0.1640 0.8360 0.2500
S2 S 0.4145 0.5855 0.7500
S3 S 0.5855 0.4145 0.2500
S4 S 0.8360 0.1640 0.7500
# * space-group type: No. 15
# * formation energy (no corrections): -10.60 kcal/mol of atoms

---

[5]
# PBE-GGA Cs2PbS2, optimized geometry
data_Cs2PbS2
_cell_length_a 11.1055
_cell_length_b 9.0775
_cell_length_c 8.6997
_cell_angle_alpha 90.00
_cell_angle_beta 106.13
_cell_angle_gamma 90.00
_space_group_name_H-M_alt 'P 1'
_space_group_IT_number 1
loop_
_space_group_symop_operation_xyz
'x,y,z'
loop_
_atom_site_label
_atom_site_type_symbol
_atom_site_fract_x
_atom_site_fract_y
_atom_site_fract_z
Cs1 Cs 0.0353 0.2371 0.0170
Cs2 Cs 0.0353 0.2629 0.5170
Cs3 Cs 0.3273 0.6499 0.9984
Cs4 Cs 0.3273 0.8501 0.4984
Cs5 Cs 0.6727 0.1499 0.5016
Cs6 Cs 0.6727 0.3501 0.0016
Cs7 Cs 0.9647 0.7371 0.4830
Cs8 Cs 0.9647 0.7629 0.9830
Pb1 Pb 0.3547 0.1222 0.9258
Pb2 Pb 0.3547 0.3778 0.4258
Pb3 Pb 0.6453 0.6222 0.5742
Pb4 Pb 0.6453 0.8778 0.0742
S1 S 0.1516 0.5377 0.2814
S2 S 0.1516 0.9623 0.7814
S3 S 0.4590 0.5305 0.6953
S4 S 0.4590 0.9695 0.1953
S5 S 0.5410 0.0305 0.8047
S6 S 0.5410 0.4695 0.3047
S7 S 0.8484 0.0377 0.2186
S8 S 0.8484 0.4623 0.7186
# * space-group type: No. 14
# * formation energy (no corrections): -20.46 kcal/mol of atoms

---

[6]
# PBE-GGA Cs5Pb2S4, optimized geometry
data_Cs5Pb2S4
_cell_length_a 9.5804
_cell_length_b 9.5804
_cell_length_c 11.6136
_cell_angle_alpha 98.22
_cell_angle_beta 98.22
_cell_angle_gamma 30.05
_space_group_name_H-M_alt 'P 1'
_space_group_IT_number 1
loop_
_space_group_symop_operation_xyz
'x,y,z'
loop_
_atom_site_label
_atom_site_type_symbol
_atom_site_fract_x
_atom_site_fract_y
_atom_site_fract_z
Cs1 Cs 0.0000 0.0000 0.0000
Cs2 Cs 0.3009 0.3009 0.1708
Cs3 Cs 0.3549 0.3549 0.5718
Cs4 Cs 0.6451 0.6451 0.4282
Cs5 Cs 0.6991 0.6991 0.8292
Pb1 Pb 0.0337 0.0337 0.6581
Pb2 Pb 0.9663 0.9663 0.3419
S1 S 0.1760 0.1760 0.6422
S2 S 0.4796 0.4796 0.2193
S3 S 0.5204 0.5204 0.7807
S4 S 0.8240 0.8240 0.3578
# * space-group type: No. 12
# * formation energy (no corrections): -19.18 kcal/mol of atoms

---

[7]
# PBE-GGA CsPb2S2, optimized geometry
data_CsPb2S2
_cell_length_a 4.3200
_cell_length_b 4.3200
_cell_length_c 10.6411
_cell_angle_alpha 90.00
_cell_angle_beta 90.00
_cell_angle_gamma 120.00
_space_group_name_H-M_alt 'P 1'
_space_group_IT_number 1
loop_
_space_group_symop_operation_xyz
'x,y,z'
loop_
_atom_site_label
_atom_site_type_symbol
_atom_site_fract_x
_atom_site_fract_y
_atom_site_fract_z
Cs1 Cs 0.0000 0.0000 0.0000
Pb1 Pb 0.3333 0.6667 0.3597
Pb2 Pb 0.6667 0.3333 0.6403
S1 S 0.3333 0.6667 0.7669
S2 S 0.6667 0.3333 0.2331
# * space-group type: No. 164
# * formation energy (no corrections): -13.10 kcal/mol of atoms

---

[8]
# PBE-GGA Cs2Pb3S4, optimized geometry
data_Cs2Pb3S4
_cell_length_a 9.0955
_cell_length_b 9.0955
_cell_length_c 8.4325
_cell_angle_alpha 90.00
_cell_angle_beta 90.00
_cell_angle_gamma 126.58
_space_group_name_H-M_alt 'P 1'
_space_group_IT_number 1
loop_
_space_group_symop_operation_xyz
'x,y,z'
loop_
_atom_site_label
_atom_site_type_symbol
_atom_site_fract_x
_atom_site_fract_y
_atom_site_fract_z
Cs1 Cs 0.1025 0.8975 0.9098
Cs2 Cs 0.3975 0.6025 0.4098
Cs3 Cs 0.6025 0.3975 0.5902
Cs4 Cs 0.8975 0.1025 0.0902
Pb1 Pb 0.0000 0.0000 0.5000
Pb2 Pb 0.0402 0.4598 0.7500
Pb3 Pb 0.4598 0.0402 0.2500
Pb4 Pb 0.5000 0.5000 0.0000
Pb5 Pb 0.5402 0.9598 0.7500
Pb6 Pb 0.9598 0.5402 0.2500
S1 S 0.1964 0.8036 0.5284
S2 S 0.2051 0.2949 0.7500
S3 S 0.2949 0.2051 0.2500
S4 S 0.3036 0.6964 0.0284
S5 S 0.6964 0.3036 0.9716
S6 S 0.7051 0.7949 0.7500
S7 S 0.7949 0.7051 0.2500
S8 S 0.8036 0.1964 0.4716
# * space-group type: No. 64
# * formation energy (no corrections): -15.10 kcal/mol of atoms

---

| no. | magnetic moment (μB/f.u.) |
| --- | --- |
| 1 | 0.00 |
| 2 | 1.00 |
| 3 | 0.01 |
| 4 | 0.00 |
| 5 | 0.00 |
| 6 | 0.00 |
| 7 | 0.00 |
| 8 | 0.00 |